[1]
The following is a DFT calculation (PBE-GGA) of an optimized crystal structure of KLiY2O4.

Summary:
As for the total energy: -7.30 eV/atom. The volume is 14.62 Å³/atom. As for the space group: No. 63. The formation energy from raw total energies is -2828 meV/atom.

Cell: 3.466 6.041 11.657 Å, 90.00 90.00 106.67°
Element x y z (fractional)
O 0.000 0.000 0.500
Y 0.366 0.732 0.559
O 0.747 0.495 0.898
Y 0.634 0.268 0.441
Li 0.821 0.642 0.750
Li 0.179 0.358 0.250
K 0.902 0.803 0.250
Y 0.634 0.268 0.059
O 0.253 0.505 0.102
O 0.406 0.811 0.750
O 0.747 0.495 0.602
O 0.000 0.000 0.000
K 0.098 0.197 0.750
O 0.594 0.189 0.250
Y 0.366 0.732 0.941
O 0.253 0.505 0.398

[2]
The following is a DFT calculation (PBE-GGA) of an optimized crystal structure of KLiZn3O4.

Summary:
As for the total energy: -4.46 eV/atom. The volume is 12.93 Å³/atom. As for the space group: No. 8. The formation energy from raw total energies is -1501 meV/atom.

Cell: 6.110 6.110 8.279 Å, 47.51 47.51 31.94°
Element x y z (fractional)
K 0.994 0.994 0.001
Zn 0.631 0.631 0.537
O 0.405 0.405 0.820
O 0.603 0.603 0.173
Zn 0.802 0.802 0.840
O 0.771 0.771 0.633
Li 0.180 0.180 0.190
O 0.238 0.238 0.365
Zn 0.377 0.377 0.441

[3]
The following is a DFT calculation (PBE-GGA) of an optimized crystal structure of KLiZnO2.

Summary:
As for the total energy: -4.37 eV/atom. The volume is 13.42 Å³/atom. As for the space group: No. 12. The formation energy from raw total energies is -1533 meV/atom.

Cell: 5.742 5.742 8.343 Å, 61.39 61.39 34.32°
Element x y z (fractional)
O 0.537 0.537 0.695
Zn 0.044 0.044 0.818
K 0.836 0.836 0.631
Li 0.658 0.658 0.056
O 0.463 0.463 0.305
Zn 0.956 0.956 0.182
O 0.162 0.162 0.937
O 0.838 0.838 0.063
Li 0.342 0.342 0.944
K 0.164 0.164 0.369

[4]
The following is a DFT calculation (PBE-GGA) of an optimized crystal structure of K3LiZr2O6.

Summary:
As for the total energy: -6.82 eV/atom. The volume is 14.61 Å³/atom. As for the space group: No. 12. The formation energy from raw total energies is -2482 meV/atom.

Cell: 5.723 5.723 6.468 Å, 98.31 98.31 120.17°
Element x y z (fractional)
O 0.700 0.700 0.182
Li 0.000 0.000 0.000
Zr 0.333 0.667 0.000
O 0.573 0.939 0.813
Zr 0.667 0.333 0.000
O 0.300 0.300 0.818
O 0.427 0.061 0.187
O 0.061 0.427 0.187
K 0.843 0.157 0.500
O 0.939 0.573 0.813
K 0.500 0.500 0.500
K 0.157 0.843 0.500

[5]
The following is a DFT calculation (PBE-GGA) of an optimized crystal structure of K2LiZrO4.

Summary:
As for the total energy: -5.94 eV/atom. The volume is 16.47 Å³/atom. As for the space group: No. 121. The formation energy from raw total energies is -1876 meV/atom.

Cell: 5.873 5.573 5.573 Å, 73.88 58.20 58.20°
Site moments in Bohr magnetons follow the coordinates.
Element x y z (fractional)
O 0.917 0.000 0.694  0.21
K 0.000 0.500 0.500  0.00
Zr 0.000 0.000 0.000  -0.05
K 0.500 0.500 0.500  0.00
O 0.388 0.694 0.000  0.21
O 0.083 0.306 0.000  0.21
O 0.612 0.000 0.306  0.21
Li 0.500 0.000 0.000  0.00

[6]
The following is a DFT calculation (PBE-GGA) of an optimized crystal structure of K2Li14Zr3O14.

Summary:
As for the total energy: -6.03 eV/atom. The volume is 11.14 Å³/atom. As for the space group: No. 71. The formation energy from raw total energies is -2273 meV/atom.

Cell: 8.314 8.314 8.314 Å, 127.52 123.22 80.97°
Element x y z (fractional)
O 0.745 0.459 0.714
O 0.838 0.629 0.209
Zr 0.000 0.000 0.000
Li 0.155 0.500 0.655
O 0.000 0.712 0.712
O 0.052 0.872 0.179
Li 0.706 0.593 0.570
O 0.307 0.128 0.179
O 0.948 0.128 0.821
O 0.693 0.872 0.821
Li 0.845 0.500 0.345
K 0.500 0.759 0.259
Li 0.977 0.407 0.113
O 0.162 0.371 0.791
Li 0.023 0.593 0.887
Li 0.586 0.229 0.357
Li 0.706 0.136 0.113
Li 0.128 0.771 0.357
O 0.745 0.031 0.286
O 0.421 0.629 0.791
Li 0.294 0.864 0.887
Li 0.294 0.407 0.430
K 0.500 0.241 0.741
Li 0.023 0.136 0.430
O 0.579 0.371 0.209
Li 0.414 0.771 0.643
Zr 0.728 0.728 0.000
Li 0.872 0.229 0.643
O 0.255 0.541 0.286
O 0.000 0.288 0.288
Zr 0.272 0.272 0.000
Li 0.977 0.864 0.570
O 0.255 0.969 0.714

[7]
The following is a DFT calculation (PBE-GGA) of an optimized crystal structure of KLiZrO3.

Summary:
As for the total energy: -6.94 eV/atom. The volume is 14.21 Å³/atom. As for the space group: No. 63. The formation energy from raw total energies is -2536 meV/atom.

Cell: 3.314 6.275 8.498 Å, 90.00 90.00 105.31°
Element x y z (fractional)
O 0.609 0.218 0.044
Zr 0.000 0.000 0.500
Zr 0.000 0.000 0.000
O 0.609 0.218 0.456
O 0.391 0.782 0.544
K 0.275 0.551 0.250
O 0.032 0.064 0.750
O 0.968 0.936 0.250
O 0.391 0.782 0.956
Li 0.553 0.105 0.250
Li 0.447 0.895 0.750
K 0.725 0.449 0.750

[8]
The following is a DFT calculation (PBE-GGA) of an optimized crystal structure of K2LiOs.

Summary:
As for the total energy: -2.49 eV/atom. The volume is 27.27 Å³/atom. Its energy of formation is 1346 meV/atom. As for the space group: No. 123.

Cell: 5.285 4.543 4.543 Å, 90.00 90.00 90.00°
Site moments in Bohr magnetons follow the coordinates.
Element x y z (fractional)
Li 0.500 0.500 0.000  -0.05
K 0.000 0.000 0.000  -0.02
Os 0.500 0.000 0.500  1.65
K 0.000 0.500 0.500  -0.02

[9]
The following is a DFT calculation (PBE-GGA) of an optimized crystal structure of KLiOs2.

Summary:
As for the total energy: -5.47 eV/atom. The volume is 17.17 Å³/atom. Its energy of formation is 893 meV/atom. As for the space group: No. 47.

Cell: 2.728 4.628 5.438 Å, 90.00 90.00 90.00°
Element x y z (fractional)
Li 0.000 0.500 0.500
Os 0.000 0.000 0.000
K 0.500 0.000 0.500
Os 0.500 0.500 0.000

[10]
The following is a DFT calculation (PBE-GGA) of an optimized crystal structure of KLi2Os2.

Summary:
As for the total energy: -4.89 eV/atom. The volume is 18.11 Å³/atom. Its energy of formation is 586 meV/atom. As for the space group: No. 127.

Cell: 8.465 8.465 2.528 Å, 90.00 90.00 90.00°
Element x y z (fractional)
Li 0.178 0.322 0.000
Li 0.678 0.178 0.000
Os 0.603 0.897 0.500
K 0.000 0.000 0.000
K 0.500 0.500 0.000
Li 0.822 0.678 0.000
Os 0.103 0.603 0.500
Os 0.397 0.103 0.500
Os 0.897 0.397 0.500
Li 0.322 0.822 0.000

[11]
The following is a DFT calculation (PBE-GGA) of an optimized crystal structure of K2LiOs.

Summary:
As for the total energy: -2.56 eV/atom. The volume is 26.23 Å³/atom. Its energy of formation is 1270 meV/atom. As for the space group: No. 119.

Cell: 5.296 5.296 5.296 Å, 120.07 120.07 89.88°
Site moments in Bohr magnetons follow the coordinates.
Element x y z (fractional)
Li 0.500 0.500 0.000  -0.05
K 0.000 0.000 0.000  0.00
Os 0.750 0.250 0.500  1.33
K 0.250 0.750 0.500  -0.02

[12]
The following is a DFT calculation (PBE-GGA) of an optimized crystal structure of K2LiOs.

Summary:
As for the total energy: -2.51 eV/atom. The volume is 27.29 Å³/atom. Its energy of formation is 1323 meV/atom. As for the space group: No. 139.

Cell: 6.105 6.105 6.105 Å, 135.78 135.78 64.31°
Site moments in Bohr magnetons follow the coordinates.
Element x y z (fractional)
K 0.000 0.000 0.000  -0.02
K 0.500 0.500 0.000  -0.02
Li 0.250 0.750 0.500  -0.05
Os 0.750 0.250 0.500  1.63

Repeat the third record exactly.
The following is a DFT calculation (PBE-GGA) of an optimized crystal structure of KLiZnO2.

Summary:
As for the total energy: -4.37 eV/atom. The volume is 13.42 Å³/atom. As for the space group: No. 12. The formation energy from raw total energies is -1533 meV/atom.

Cell: 5.742 5.742 8.343 Å, 61.39 61.39 34.32°
Element x y z (fractional)
O 0.537 0.537 0.695
Zn 0.044 0.044 0.818
K 0.836 0.836 0.631
Li 0.658 0.658 0.056
O 0.463 0.463 0.305
Zn 0.956 0.956 0.182
O 0.162 0.162 0.937
O 0.838 0.838 0.063
Li 0.342 0.342 0.944
K 0.164 0.164 0.369

> total energy of number 11 (K2LiOs)?

-2.56 eV/atom

What did the ninth record say?
The following is a DFT calculation (PBE-GGA) of an optimized crystal structure of KLiOs2.

Summary:
As for the total energy: -5.47 eV/atom. The volume is 17.17 Å³/atom. Its energy of formation is 893 meV/atom. As for the space group: No. 47.

Cell: 2.728 4.628 5.438 Å, 90.00 90.00 90.00°
Element x y z (fractional)
Li 0.000 0.500 0.500
Os 0.000 0.000 0.000
K 0.500 0.000 0.500
Os 0.500 0.500 0.000